# Co2As2O7

A geometry-optimized Co2As2O7 structure (GGA+U, the Alexandria database).

a b c (Å): 6.469 6.850 6.842
angles (deg): 100.37 70.96 109.16
Positions (direct):
Co 0.751 0.063 0.561
Co 0.749 0.437 0.939
Co 0.253 0.560 0.062
Co 0.247 0.940 0.438
As 0.733 0.953 0.045
As 0.192 0.447 0.559
As 0.767 0.547 0.455
As 0.308 0.054 0.941
O 0.474 0.457 0.558
O 0.026 0.043 0.942
O 0.245 0.620 0.382
O 0.677 0.102 0.896
O 0.255 0.880 0.119
O 0.824 0.398 0.604
O 0.629 0.695 0.981
O 0.110 0.184 0.481
O 0.636 0.024 0.302
O 0.106 0.523 0.821
O 0.865 0.476 0.198
O 0.394 0.977 0.679
O 0.871 0.805 0.519
O 0.390 0.316 0.019

Summary:
The calculation puts the total energy at -6.089 eV per atom. The value obtained for the excess energy over the best structure of this formula in the dataset is 1 meV/atom. The space group is P-1, No. 2. The volume comes out at 12.27 Å³/atom. As for the total magnetization: 0.55 μB per atom.